Record 1
Here is a relaxed structure of IO from the Alexandria database. Energies are from PBE.

a = 4.763 Å, b = 4.763 Å, c = 3.612 Å
α = 111.99°, β = 111.99°, γ = 50.62°
Fractional positions:
1 I 0.000 0.000 0.000
2 O 0.500 0.500 0.000

Values from the calculation:
uncorrected formation energy: 0.150 eV per atom
Fermi-level density of states: 2.0 states/eV/cell
energy above the lowest structure with this stoichiometry: 0.1951 eV per atom

Record 2
Here is a relaxed structure of IO from the Alexandria database. Energies are from PBE.

a = 4.081 Å, b = 4.081 Å, c = 4.081 Å
α = 60.00°, β = 60.00°, γ = 60.00°
Fractional positions:
1 I 0.000 0.000 0.000
2 O 0.250 0.250 0.250

Values from the calculation:
uncorrected formation energy: 0.948 eV per atom
Fermi-level density of states: 3.1 states/eV/cell
energy above the lowest structure with this stoichiometry: 0.9927 eV per atom

Record 3
Here is a relaxed structure of IO from the Alexandria database. Energies are from PBE.

a = 6.585 Å, b = 6.585 Å, c = 6.585 Å
α = 146.07°, β = 81.42°, γ = 108.63°
Fractional positions:
1 I 0.000 0.000 0.000
2 I 0.307 0.966 0.341
3 I 0.626 0.966 0.659
4 O 0.248 0.248 0.000
5 O 0.405 0.571 0.834
6 O 0.737 0.571 0.166

Values from the calculation:
uncorrected formation energy: 0.213 eV per atom
Fermi-level density of states: 2.8 states/eV/cell
energy above the lowest structure with this stoichiometry: 0.2575 eV per atom